# Ca2Ag2Sn

A relaxed structure of Ca2Ag2Sn (PBE-GGA, the Alexandria database).

```
data_Ca2Ag2Sn
_chemical_formula_sum 'Ca4 Ag4 Sn2'
_space_group_name_H-M_alt 'P 1'
_space_group_IT_number 1
_cell_length_a 7.9697
_cell_length_b 7.9697
_cell_length_c 3.9999
_cell_angle_alpha 90.00
_cell_angle_beta 90.00
_cell_angle_gamma 90.00
loop_
_space_group_symop_operation_xyz
'x,y,z'
loop_
_atom_site_label
_atom_site_type_symbol
_atom_site_fract_x
_atom_site_fract_y
_atom_site_fract_z
_atom_site_occupancy
Ca1 Ca 0.1772 0.3228 0.0000 1
Ca2 Ca 0.3228 0.8228 0.0000 1
Ca3 Ca 0.6772 0.1772 0.0000 1
Ca4 Ca 0.8228 0.6772 0.0000 1
Ag1 Ag 0.1232 0.6232 0.5000 1
Ag2 Ag 0.3768 0.1232 0.5000 1
Ag3 Ag 0.6232 0.8768 0.5000 1
Ag4 Ag 0.8768 0.3768 0.5000 1
Sn1 Sn 0.0000 0.0000 0.5000 1
Sn2 Sn 0.5000 0.5000 0.5000 1
```

relative energy among the computed polymorphs = 56 meV/atom
uncorrected energy = -31.45 eV for the cell shown
space group = P4/mbm
ΔH_f (0 K) = -0.40 eV per atom

***

# Nd6PtRh2

A relaxed structure of Nd6PtRh2 (PBE-GGA, the Alexandria database).

```
data_Nd6PtRh2
_chemical_formula_sum 'Nd6 Pt1 Rh2'
_space_group_name_H-M_alt 'P 1'
_space_group_IT_number 1
_cell_length_a 7.0100
_cell_length_b 7.0100
_cell_length_c 9.1884
_cell_angle_alpha 117.04
_cell_angle_beta 117.04
_cell_angle_gamma 45.87
loop_
_space_group_symop_operation_xyz
'x,y,z'
loop_
_atom_site_label
_atom_site_type_symbol
_atom_site_fract_x
_atom_site_fract_y
_atom_site_fract_z
_atom_site_occupancy
Nd1 Nd 0.0162 0.0162 0.2063 1
Nd2 Nd 0.2851 0.2851 0.8662 1
Nd3 Nd 0.3570 0.3570 0.4599 1
Nd4 Nd 0.6430 0.6430 0.5401 1
Nd5 Nd 0.7149 0.7149 0.1338 1
Nd6 Nd 0.9838 0.9838 0.7937 1
Pt1 Pt 0.0000 0.0000 0.5000 1
Rh1 Rh 0.1951 0.1951 0.1090 1
Rh2 Rh 0.8049 0.8049 0.8910 1
```

uncorrected energy = -53.41 eV for the cell shown
space group = C2/m
ΔH_f (0 K) = -0.45 eV per atom

***

# ScFeMo2

A relaxed structure of ScFeMo2 (PBE-GGA, the Alexandria database).

```
data_ScFeMo2
_chemical_formula_sum 'Sc1 Fe1 Mo2'
_space_group_name_H-M_alt 'P 1'
_space_group_IT_number 1
_cell_length_a 2.6744
_cell_length_b 4.6151
_cell_length_c 5.2235
_cell_angle_alpha 90.00
_cell_angle_beta 90.00
_cell_angle_gamma 90.00
loop_
_space_group_symop_operation_xyz
'x,y,z'
loop_
_atom_site_label
_atom_site_type_symbol
_atom_site_fract_x
_atom_site_fract_y
_atom_site_fract_z
_atom_site_occupancy
Sc1 Sc 0.0000 0.0000 0.0000 1
Fe1 Fe 0.0000 0.0000 0.5000 1
Mo1 Mo 0.5000 0.5000 0.2531 1
Mo2 Mo 0.5000 0.5000 0.7469 1
```

relative energy among the computed polymorphs = 256 meV/atom
uncorrected energy = -35.17 eV for the cell shown
space group = Pmmm
ΔH_f (0 K) = 0.32 eV per atom

***

# PmEuIr4

A relaxed structure of PmEuIr4 (PBE-GGA, the Alexandria database).

```
data_PmEuIr4
_chemical_formula_sum 'Pm1 Eu1 Ir4'
_space_group_name_H-M_alt 'P 1'
_space_group_IT_number 1
_cell_length_a 5.4212
_cell_length_b 5.4212
_cell_length_c 5.4212
_cell_angle_alpha 60.00
_cell_angle_beta 60.00
_cell_angle_gamma 60.00
loop_
_space_group_symop_operation_xyz
'x,y,z'
loop_
_atom_site_label
_atom_site_type_symbol
_atom_site_fract_x
_atom_site_fract_y
_atom_site_fract_z
_atom_site_occupancy
Pm1 Pm 0.0000 0.0000 0.0000 1
Eu1 Eu 0.7500 0.7500 0.7500 1
Ir1 Ir 0.3750 0.3750 0.3750 1
Ir2 Ir 0.3750 0.3750 0.8751 1
Ir3 Ir 0.3750 0.8751 0.3750 1
Ir4 Ir 0.8751 0.3750 0.3750 1
```

uncorrected energy = -54.11 eV for the cell shown
space group = F-43m
ΔH_f (0 K) = -0.61 eV per atom

***

Question: The highest uncorrected energy belongs to which entry?
Answer: Ca2Ag2Sn

***

Repeat the fourth record exactly.
# PmEuIr4

A relaxed structure of PmEuIr4 (PBE-GGA, the Alexandria database).

```
data_PmEuIr4
_chemical_formula_sum 'Pm1 Eu1 Ir4'
_space_group_name_H-M_alt 'P 1'
_space_group_IT_number 1
_cell_length_a 5.4212
_cell_length_b 5.4212
_cell_length_c 5.4212
_cell_angle_alpha 60.00
_cell_angle_beta 60.00
_cell_angle_gamma 60.00
loop_
_space_group_symop_operation_xyz
'x,y,z'
loop_
_atom_site_label
_atom_site_type_symbol
_atom_site_fract_x
_atom_site_fract_y
_atom_site_fract_z
_atom_site_occupancy
Pm1 Pm 0.0000 0.0000 0.0000 1
Eu1 Eu 0.7500 0.7500 0.7500 1
Ir1 Ir 0.3750 0.3750 0.3750 1
Ir2 Ir 0.3750 0.3750 0.8751 1
Ir3 Ir 0.3750 0.8751 0.3750 1
Ir4 Ir 0.8751 0.3750 0.3750 1
```

uncorrected energy = -54.11 eV for the cell shown
space group = F-43m
ΔH_f (0 K) = -0.61 eV per atom